1.
Computed, not measured: TbNiH after structural relaxation at the PBE level of DFT.

Cell and atoms, written as CIF:
```
data_TbNiH
_cell_length_a 3.7775
_cell_length_b 3.7775
_cell_length_c 3.4585
_cell_angle_alpha 90.00
_cell_angle_beta 90.00
_cell_angle_gamma 120.00
_symmetry_space_group_name_H-M 'P -6 m 2'
_symmetry_Int_Tables_number 187
_symmetry_space_group_name_Hall 'P -6 2'
loop_
_atom_site_label
_atom_site_fract_x
_atom_site_fract_y
_atom_site_fract_z
Tb1 0.0000 0.0000 0.0000
Ni1 0.6667 0.3333 0.5000
H1 0.3333 0.6667 0.5000
```

## Properties
Total moment, μB/f.u.: 0.000
ΔE to the lowest computed polymorph, meV per atom: 0

***

2.
Computed, not measured: Tm4GaRh after structural relaxation at the PBE level of DFT.

Cell and atoms, written as CIF:
```
data_Tm4GaRh
_cell_length_a 8.794
_cell_length_b 13.066
_cell_length_c 5.993
_cell_angle_alpha 90.00
_cell_angle_beta 119.04
_cell_angle_gamma 90.00
_symmetry_space_group_name_H-M 'C 1 2/c 1'
_symmetry_Int_Tables_number 15
_symmetry_space_group_name_Hall '-C 2yc'
loop_
_atom_site_label
_atom_site_fract_x
_atom_site_fract_y
_atom_site_fract_z
Tm1 0.122 0.179 0.089
Tm2 0.208 0.433 0.304
Ga1 0.000 0.369 0.750
Rh1 0.000 0.000 0.250
```

## Properties
Total moment, μB/f.u.: 0.000
ΔE to the lowest computed polymorph, meV per atom: 58

***

3.
Computed, not measured: Dy2ZrUAs4 after structural relaxation at the PBE level of DFT.

Cell and atoms, written as CIF:
```
data_Dy2ZrUAs4
_cell_length_a 6.975
_cell_length_b 4.027
_cell_length_c 7.031
_cell_angle_alpha 90.00
_cell_angle_beta 109.07
_cell_angle_gamma 90.00
_symmetry_space_group_name_H-M 'P 1 2/m 1'
_symmetry_Int_Tables_number 10
_symmetry_space_group_name_Hall '-P 2y'
loop_
_atom_site_label
_atom_site_fract_x
_atom_site_fract_y
_atom_site_fract_z
Dy1 0.000 0.000 0.000
Dy2 0.500 0.500 0.000
Zr1 0.000 0.500 0.500
U1 0.500 0.000 0.500
As1 0.242 0.000 0.739
As2 0.246 0.500 0.256
```

## Properties
Total DFT energy (no corrections), eV/cell: -57.42
Total moment, μB/f.u.: 2.551

***

4.
Computed, not measured: BaCoNi2 after structural relaxation at the PBE level of DFT.

Cell and atoms, written as CIF:
```
data_BaCoNi2
_cell_length_a 4.081
_cell_length_b 5.795
_cell_length_c 7.343
_cell_angle_alpha 90.00
_cell_angle_beta 90.00
_cell_angle_gamma 90.00
_symmetry_space_group_name_H-M 'I m m 2'
_symmetry_Int_Tables_number 44
_symmetry_space_group_name_Hall 'I 2 -2'
loop_
_atom_site_label
_atom_site_fract_x
_atom_site_fract_y
_atom_site_fract_z
Ba1 0.000 0.000 0.000
Co1 0.000 0.500 0.849
Ni1 0.000 0.000 0.495
Ni2 0.000 0.500 0.163
```

## Properties
Total DFT energy (no corrections), eV/cell: -36.13
Total moment, μB/f.u.: 2.576

***

5.
Computed, not measured: Er2Al5Fe2Cu after structural relaxation at the PBE level of DFT.

Cell and atoms, written as CIF:
```
data_Er2Al5Fe2Cu
_cell_length_a 9.625
_cell_length_b 9.625
_cell_length_c 3.669
_cell_angle_alpha 90.00
_cell_angle_beta 90.00
_cell_angle_gamma 90.00
_symmetry_space_group_name_H-M 'P 4/m b m'
_symmetry_Int_Tables_number 127
_symmetry_space_group_name_Hall '-P 4 2ab'
loop_
_atom_site_label
_atom_site_fract_x
_atom_site_fract_y
_atom_site_fract_z
Er1 0.185 0.315 0.000
Al1 0.000 0.500 0.500
Al2 0.054 0.798 0.500
Fe1 0.114 0.614 0.000
Cu1 0.000 0.000 0.000
```

## Properties
Total DFT energy (no corrections), eV/cell: -102.83
Total moment, μB/f.u.: 3.218

***

6.
Computed, not measured: BaLaFeN2 after structural relaxation at the PBE level of DFT.

Cell and atoms, written as CIF:
```
data_BaLaFeN2
_cell_length_a 5.827
_cell_length_b 5.462
_cell_length_c 7.191
_cell_angle_alpha 90.00
_cell_angle_beta 90.23
_cell_angle_gamma 90.00
_symmetry_space_group_name_H-M 'P 1 2/c 1'
_symmetry_Int_Tables_number 13
_symmetry_space_group_name_Hall '-P 2yc'
loop_
_atom_site_label
_atom_site_fract_x
_atom_site_fract_y
_atom_site_fract_z
Ba1 0.000 0.003 0.250
La1 0.500 0.500 0.250
Fe1 0.500 0.000 0.000
N1 0.302 0.262 0.999
```

## Properties
Total moment, μB/f.u.: 2.945
ΔE_f (raw), eV/atom: -0.53

***

7.
Computed, not measured: Zn2PPd after structural relaxation at the PBE level of DFT.

Cell and atoms, written as CIF:
```
data_Zn2PPd
_cell_length_a 3.739
_cell_length_b 3.739
_cell_length_c 18.039
_cell_angle_alpha 90.00
_cell_angle_beta 90.00
_cell_angle_gamma 90.00
_symmetry_space_group_name_H-M 'I -4 2 d'
_symmetry_Int_Tables_number 122
_symmetry_space_group_name_Hall 'I -4 2bw'
loop_
_atom_site_label
_atom_site_fract_x
_atom_site_fract_y
_atom_site_fract_z
Zn1 0.249 0.250 0.125
P1 0.000 0.000 0.000
Pd1 0.000 0.000 0.500
```

## Properties
Total DFT energy (no corrections), eV/cell: -53.06
Total moment, μB/f.u.: 0.000

***

8.
Computed, not measured: Ba2CdRu after structural relaxation at the PBE level of DFT.

Cell and atoms, written as CIF:
```
data_Ba2CdRu
_cell_length_a 3.842
_cell_length_b 3.842
_cell_length_c 9.292
_cell_angle_alpha 90.00
_cell_angle_beta 90.00
_cell_angle_gamma 90.00
_symmetry_space_group_name_H-M 'P 4 m m'
_symmetry_Int_Tables_number 99
_symmetry_space_group_name_Hall 'P 4 -2'
loop_
_atom_site_label
_atom_site_fract_x
_atom_site_fract_y
_atom_site_fract_z
Ba1 0.000 0.000 0.000
Ba2 0.500 0.500 0.428
Cd1 0.000 0.000 0.663
Ru1 0.500 0.500 0.754
```

## Properties
Total DFT energy (no corrections), eV/cell: -12.96
Total moment, μB/f.u.: 0.000